KLiPb | GGA-PBE | relaxed

```
KLiPb
1.0
-1.7017 2.3427 6.1626
1.7017 -2.3427 6.1626
1.7017 2.3427 -6.1626
K Li Pb
1 1 1
Direct
0.0000 0.0000 0.0000 K
0.7310 0.7310 0.0000 Li
0.2947 0.2947 0.0000 Pb
```

## Properties
Excess energy over the best structure of this formula in the dataset (meV per atom): 80
Final energy (eV for the cell shown): -7.10